Material: Rb2CuPdF6
Method: DFT, GGA-PBE
State: optimized geometry

Results
Its crystal system is cubic. For the calculated total energy, the calculation gives -4.224 eV per atom.

```
10
Lattice="5.9973 0.0000 0.0000 2.9986 5.1938 0.0000 2.9986 1.7313 4.8968" Properties=species:S:1:pos:R:3 pbc="T T T"
F 5.9973 5.1506 3.6420
Pd 0.0000 0.0000 0.0000
Rb 2.9986 1.7313 1.2242
F 4.5353 4.3066 1.2547
F 4.5353 2.6185 3.6420
F 7.4592 4.3066 1.2547
Cu 5.9973 3.4625 2.4484
Rb 8.9959 5.1938 3.6726
F 7.4592 2.6185 3.6420
F 5.9973 1.7744 1.2547
```

***

Material: Tm3PuN4
Method: DFT, GGA-PBE
State: optimized geometry

Results
Its crystal system is monoclinic. For the calculated total energy, the calculation gives -9.295 eV per atom.

```
16
Lattice="5.9283 0.0548 0.0000 -2.0263 5.5522 0.0000 0.0000 0.0000 6.8355" Properties=species:S:1:pos:R:3 pbc="T T T"
N 1.4557 4.1899 4.2775
N 1.4305 4.2145 0.8412
Tm 3.4331 2.8172 4.2565
Pu 4.4462 0.0411 5.9675
N 2.4715 1.3925 5.9942
N 4.3947 4.2419 5.9942
N -0.4927 1.3651 0.8412
N 5.4105 1.4445 4.2775
N -1.5085 4.1625 2.5580
Tm 4.4462 0.0411 2.5756
Tm 0.4689 2.7898 5.9659
Tm 0.4689 2.7898 2.5790
Tm 3.4331 2.8172 0.8695
Tm 1.4821 0.0137 4.2598
N 2.4463 1.4171 2.5580
Pu 1.4821 0.0137 0.8680
```

***

Material: Cs3Li2PrCl9
Method: DFT, GGA-PBE
State: optimized geometry

Results
Its crystal system is trigonal. For the calculated total energy, the calculation gives -3.704 eV per atom.

```
15
Lattice="7.4983 0.0000 0.0000 -3.7492 6.4938 0.0000 0.0000 0.0000 9.3731" Properties=species:S:1:pos:R:3 pbc="T T T"
Li 0.0000 4.3292 1.4475
Li 3.7492 2.1646 7.9255
Cs 3.7492 2.1646 3.0120
Cl 5.5704 1.1131 6.3042
Cl 1.8212 5.3806 3.0688
Cl 1.8746 3.2469 0.0000
Cl 3.7492 4.2675 6.3042
Cl 0.0000 2.2262 3.0688
Cs 0.0000 0.0000 0.0000
Cl -1.8746 3.2469 0.0000
Cl 1.9280 1.1131 6.3042
Cl -1.8212 5.3806 3.0688
Cs 0.0000 4.3292 6.3610
Cl 3.7492 0.0000 0.0000
Pr 0.0000 0.0000 4.6865
```

***

Material: MnGe2N
Method: DFT, GGA-PBE
State: optimized geometry

Results
Its crystal system is tetragonal. For the calculated total energy, the calculation gives -6.253 eV per atom.

```
8
Lattice="5.7718 0.0000 0.0000 0.0000 5.7718 0.0000 2.8859 2.8859 3.6678" Properties=species:S:1:pos:R:3 pbc="T T T"
Ge 4.3289 4.7028 2.7508
N 2.8859 2.8859 0.0000
Mn 5.7718 2.8859 1.8339
N 2.8859 5.7718 1.8339
Ge 3.9549 1.4430 0.9169
Mn 0.0000 0.0000 0.0000
Ge 7.2148 6.8408 2.7508
Ge 1.8169 4.3289 0.9169
```